(1)
# CoCuRe

A geometry-optimized CoCuRe structure (PBE, the Alexandria database).

Properties
Its formation energy is 0.3132 eV per atom. The mass density comes out at 13.02 Mg/m³. As for the symmetry: Fmm2. The distance to the lowest polymorph of the same formula comes out at 138 meV/atom. As for the density of states at the Fermi level: 3.4 states/eV/cell.

Lattice parameters (Å, degrees): 6.7298 6.5453 2.5765 82.87 74.81 22.33
Last column: nearest neighbours and their distance in Å.
Fractional positions:
Co 0.0001 0.0001 0.9999  2 Re 2.52, 2 Cu 2.52, 4 Co 2.58
Re 0.6620 0.6620 0.3380  2 Co 2.52, 4 Re 2.58, 2 Cu 2.67
Cu 0.3380 0.3380 0.6620  2 Co 2.52, 4 Cu 2.58, 2 Re 2.67


(2)
# CoCu2Re

A geometry-optimized CoCu2Re structure (PBE, the Alexandria database).

Properties
Its formation energy is 0.3328 eV per atom. The mass density comes out at 12.23 Mg/m³. As for the symmetry: Pmmm. The distance to the lowest polymorph of the same formula comes out at 189 meV/atom. As for the density of states at the Fermi level: 4.6 states/eV/cell.

Lattice parameters (Å, degrees): 2.6364 4.2969 4.4610 90.00 90.00 90.00
Last column: nearest neighbours and their distance in Å.
Fractional positions:
Cu 0.5000 0.5000 0.0000  6 Cu 2.52-2.64, 4 Co 2.59
Cu 0.0000 0.0000 0.0000  6 Cu 2.52-2.64, 4 Re 2.59
Re 0.5000 0.0000 0.5000  4 Co 2.52, 4 Cu 2.59, 2 Re 2.64
Co 0.0000 0.5000 0.5000  4 Re 2.52, 4 Cu 2.59, 2 Co 2.64


(3)
# CoCu4Re

A geometry-optimized CoCu4Re structure (PBE, the Alexandria database).

Properties
Its formation energy is 0.4051 eV per atom. The mass density comes out at 11.24 Mg/m³. As for the symmetry: F-43m. As for the density of states at the Fermi level: 5.9 states/eV/cell.

Lattice parameters (Å, degrees): 4.7068 4.7068 4.7068 60.00 60.00 60.00
Last column: nearest neighbours and their distance in Å.
Fractional positions:
Cu 0.6251 0.6251 0.1247  6 Cu 2.35-2.36
Cu 0.6251 0.6251 0.6251  6 Cu 2.35-2.36
Cu 0.6251 0.1247 0.6251  6 Cu 2.35-2.36
Cu 0.1247 0.6251 0.6251  6 Cu 2.35-2.36
Co 0.0000 0.0000 0.0000  12 Cu 2.76, 4 Re 2.88
Re 0.2500 0.2500 0.2500  12 Cu 2.76, 4 Co 2.88


(4)
# CoCu2Re

A geometry-optimized CoCu2Re structure (PBE, the Alexandria database).

Properties
Its formation energy is 0.4097 eV per atom. The mass density comes out at 12.42 Mg/m³. As for the symmetry: I4/mmm. The distance to the lowest polymorph of the same formula comes out at 266 meV/atom. As for the density of states at the Fermi level: 6.2 states/eV/cell.

Lattice parameters (Å, degrees): 4.6270 4.6270 4.6270 134.39 134.39 66.48
Last column: nearest neighbours and their distance in Å.
Fractional positions:
Cu 0.0000 0.0000 0.0000  4 Cu 2.54, 4 Re 2.64, 4 Co 2.64
Cu 0.5000 0.5000 0.0000  4 Cu 2.54, 4 Co 2.64, 4 Re 2.64
Re 0.2500 0.7500 0.5000  4 Co 2.54, 8 Cu 2.64
Co 0.7500 0.2500 0.5000  4 Re 2.54, 8 Cu 2.64


(5)
# CoCuRe

A geometry-optimized CoCuRe structure (PBE, the Alexandria database).

Properties
Its formation energy is 0.1753 eV per atom. The mass density comes out at 13.61 Mg/m³. As for the symmetry: I4mm. The distance to the lowest polymorph of the same formula comes out at 0 meV/atom. As for the density of states at the Fermi level: 2.9 states/eV/cell.

Lattice parameters (Å, degrees): 5.6590 5.6590 5.6590 152.86 152.86 38.77
Last column: nearest neighbours and their distance in Å.
Fractional positions:
Co 0.0018 0.0018 0.0000  4 Re 2.52, 4 Cu 2.56, 4 Co 2.66
Cu 0.3395 0.3395 0.0000  4 Co 2.56, 4 Cu 2.66, 4 Re 2.69
Re 0.6587 0.6587 0.0000  4 Co 2.52, 4 Re 2.66, 4 Cu 2.69


(6)
# Co2CuRe

A geometry-optimized Co2CuRe structure (PBE, the Alexandria database).

Properties
Its formation energy is 0.7312 eV per atom. The mass density comes out at 11.52 Mg/m³. As for the symmetry: I-42d. The distance to the lowest polymorph of the same formula comes out at 626 meV/atom. As for the density of states at the Fermi level: 11.6 states/eV/cell.

Lattice parameters (Å, degrees): 6.4527 6.4527 5.2249 51.87 51.87 90.00
Last column: nearest neighbours and their distance in Å.
Fractional positions:
Re 0.7500 0.2500 0.5000  4 Co 2.30, 2 Cu 2.55
Re 0.0000 0.0000 0.0000  4 Co 2.30, 2 Cu 2.55
Cu 0.5000 0.5000 0.0000  4 Co 2.44, 2 Re 2.55
Cu 0.2500 0.7500 0.5000  4 Co 2.44, 2 Re 2.55
Co 0.3750 0.3595 0.7500  2 Re 2.30, 2 Cu 2.44, 2 Co 2.55
Co 0.6405 0.1250 0.2500  2 Re 2.30, 2 Cu 2.44, 2 Co 2.55
Co 0.8750 0.8905 0.7500  2 Re 2.30, 2 Cu 2.44, 2 Co 2.55
Co 0.1095 0.6250 0.2500  2 Re 2.30, 2 Cu 2.44, 2 Co 2.55


- Which value of mass density does entry 5 give?
  13.61 Mg/m³